VASP calculation (GGA-PBE) on crystalline Pa6RuRh5 at its relaxed geometry.

The structure in POSCAR format:
```
Pa6RuRh5
1.0
6.816 0.000 0.000
-3.408 5.903 0.000
0.000 0.000 13.455
Pa Ru Rh
12 2 10
Direct
0.000 0.313 0.116
0.000 0.313 0.384
0.000 0.687 0.616
0.000 0.687 0.884
0.313 0.000 0.116
0.313 0.000 0.384
0.313 0.313 0.616
0.313 0.313 0.884
0.687 0.000 0.616
0.687 0.000 0.884
0.687 0.687 0.116
0.687 0.687 0.384
0.000 0.000 0.250
0.000 0.000 0.750
0.000 0.404 0.750
0.000 0.596 0.250
0.333 0.667 0.000
0.333 0.667 0.500
0.404 0.000 0.750
0.404 0.404 0.250
0.596 0.000 0.250
0.596 0.596 0.750
0.667 0.333 0.000
0.667 0.333 0.500
```

Output
Space-group type   P6_3/mcm
Volume   22.6 Å³ per atom
Total magnetization   0.00 μB per formula unit
Crystal system   hexagonal
Mass density   12.28 g/cm³
DFT formation energy   -0.414 eV/atom